## w
Below is a relaxed ZrBeTeMo crystal, with properties calculated at the PBE level.

Unit cell a=6.5307 b=6.5307 c=6.5307 alpha=90.00 beta=90.00 gamma=90.00
Closest atoms and distances in Å follow each position.
Space group F-43m (No. 216)
Symmetry-distinct sites (fractional):
Zr 0.0000 0.0000 0.0000 [4 per cell]  4 Te 2.83, 4 Be 2.83
Be 0.2500 0.2500 0.2500 [4 per cell]  4 Zr 2.83, 4 Mo 2.83
Te 0.2500 0.2500 0.7500 [4 per cell]  4 Zr 2.83, 4 Mo 2.83
Mo 0.0000 0.0000 0.5000 [4 per cell]  4 Te 2.83, 4 Be 2.83

- V: 17.4 A^3/atom



## x
Below is a relaxed ZrBeTeMo crystal, with properties calculated at the PBE level.

Unit cell a=6.5752 b=6.5752 c=6.5752 alpha=90.00 beta=90.00 gamma=90.00
Closest atoms and distances in Å follow each position.
Space group F-43m (No. 216)
Symmetry-distinct sites (fractional):
Zr 0.0000 0.0000 0.0000 [4 per cell]  4 Mo 2.85, 4 Te 2.85
Be 0.0000 0.0000 0.5000 [4 per cell]  4 Mo 2.85, 4 Te 2.85
Te 0.2500 0.2500 0.7500 [4 per cell]  4 Zr 2.85, 4 Be 2.85
Mo 0.2500 0.2500 0.2500 [4 per cell]  4 Zr 2.85, 4 Be 2.85

- V: 17.8 A^3/atom



So which one is most stable? That would be w, about 274 meV per atom below the next structure.



## w
Below is a relaxed ZrBeMo crystal, with properties calculated at the PBE level.

Unit cell a=6.1530 b=6.1530 c=6.1530 alpha=90.00 beta=90.00 gamma=90.00
Closest atoms and distances in Å follow each position.
Space group F-43m (No. 216)
Symmetry-distinct sites (fractional):
Zr 0.0000 0.0000 0.0000 [4 per cell]  4 Mo 2.66, 4 Be 2.66
Be 0.2500 0.2500 0.7500 [4 per cell]  4 Zr 2.66
Mo 0.2500 0.2500 0.2500 [4 per cell]  4 Zr 2.66

- V: 19.4 A^3/atom



## x
Below is a relaxed ZrBeMo crystal, with properties calculated at the PBE level.

Unit cell a=5.8432 b=5.8432 c=5.8432 alpha=90.00 beta=90.00 gamma=90.00
Closest atoms and distances in Å follow each position.
Space group F-43m (No. 216)
Symmetry-distinct sites (fractional):
Zr 0.0000 0.0000 0.0000 [4 per cell]  4 Be 2.53
Be 0.2500 0.2500 0.7500 [4 per cell]  4 Zr 2.53, 4 Mo 2.53
Mo 0.0000 0.0000 0.5000 [4 per cell]  4 Be 2.53

- V: 16.6 A^3/atom



So which one is most stable? That would be x, about 1037 meV per atom below the next structure.



## w
Below is a relaxed PaBeNO crystal, with properties calculated at the PBE level.

Unit cell a=3.3361 b=5.4908 c=5.1034 alpha=90.00 beta=90.00 gamma=90.00
Closest atoms and distances in Å follow each position.
Space group Pmc2_1 (No. 26)
Symmetry-distinct sites (fractional):
Pa 0.0000 0.2340 0.0000 [2 per cell]  1 N 2.26
Be 0.5000 0.2922 0.4996 [2 per cell]  2 O 1.71, 2 N 1.78
N 0.0000 0.1767 0.4989 [2 per cell]  2 Be 1.78
O 0.5000 0.4992 0.7505 [2 per cell]  2 Be 1.71

- V: 11.7 A^3/atom



## x
Below is a relaxed PaBeNO crystal, with properties calculated at the PBE level.

Unit cell a=5.2990 b=3.2902 c=5.4638 alpha=90.00 beta=90.00 gamma=90.00
Closest atoms and distances in Å follow each position.
Space group Pmma (No. 51)
Symmetry-distinct sites (fractional):
Pa 0.2500 0.0000 0.2462 [2 per cell]  1 O 2.31, 4 N 2.50
Be 0.2500 0.5000 0.8054 [2 per cell]  2 N 1.70, 2 O 1.80
N 0.0000 0.5000 0.0000 [2 per cell]  2 Be 1.70
O 0.2500 0.0000 0.6698 [2 per cell]  2 Be 1.80

- V: 11.9 A^3/atom



## y
Below is a relaxed PaBeNO crystal, with properties calculated at the PBE level.

Unit cell a=4.6491 b=4.6491 c=4.6656 alpha=90.00 beta=90.00 gamma=90.00
Closest atoms and distances in Å follow each position.
Space group P4/nmm (No. 129, origin choice 2)
Symmetry-distinct sites (fractional):
Pa 0.2500 0.7500 0.0000 [2 per cell]  2 O 2.33, 4 N 2.42
Be 0.2500 0.2500 0.4841 [2 per cell]  1 N 1.59
N 0.2500 0.2500 0.1435 [2 per cell]  1 Be 1.59
O 0.2500 0.7500 0.5000 [2 per cell]  4 Be 2.33, 2 Pa 2.33

- V: 12.6 A^3/atom



So which one is most stable? That would be w, about 11 meV per atom below the next structure.



## w
Below is a relaxed BePdNO crystal, with properties calculated at the PBE level.

Unit cell a=4.7653 b=6.9077 c=4.4778 alpha=90.00 beta=90.00 gamma=90.00
Closest atoms and distances in Å follow each position.
Space group Pca2_1 (No. 29)
Symmetry-distinct sites (fractional):
Be 0.0941 0.0931 0.0000 [4 per cell]  3 O 1.59-1.61
Pd 0.0054 0.6371 0.0668 [4 per cell]  3 N 2.06-2.27, 1 O 2.10
N 0.0091 0.6613 0.5727 [4 per cell]  1 Be 1.80
O 0.0978 0.0708 0.6411 [4 per cell]  3 Be 1.59-1.61

- V: 9.2 A^3/atom



## x
Below is a relaxed BePdNO crystal, with properties calculated at the PBE level.

Unit cell a=2.8897 b=5.8035 c=4.6175 alpha=90.00 beta=90.00 gamma=90.00
Closest atoms and distances in Å follow each position.
Space group Pmc2_1 (No. 26)
Symmetry-distinct sites (fractional):
Be 0.0000 0.1320 0.0000 [2 per cell]  2 O 1.57-1.60, 2 N 1.75
Pd 0.5000 0.3818 0.4791 [2 per cell]  2 N 1.98-2.02
N 0.5000 0.2825 0.8992 [2 per cell]  2 Be 1.75
O 0.0000 0.1089 0.3444 [2 per cell]  2 Be 1.57-1.60

- V: 9.7 A^3/atom



So which one is most stable? That would be w, about 178 meV per atom below the next structure.



## w
Below is a relaxed BePdNO crystal, with properties calculated at the PBE level.

Unit cell a=3.3238 b=3.3238 c=7.1821 alpha=90.00 beta=90.00 gamma=90.00
Closest atoms and distances in Å follow each position.
Space group P4/nmm (No. 129, origin choice 2)
Symmetry-distinct sites (fractional):
Be 0.2500 0.7500 0.0000 [2 per cell]  4 N 1.80
Pd 0.2500 0.2500 0.3227 [2 per cell]  4 O 2.09
N 0.2500 0.2500 0.9035 [2 per cell]  4 Be 1.80
O 0.2500 0.7500 0.5000 [2 per cell]  4 Pd 2.09

- V: 9.9 A^3/atom



## x
Below is a relaxed BePdNO crystal, with properties calculated at the PBE level.

Unit cell a=3.6656 b=3.6656 c=6.1090 alpha=90.00 beta=90.00 gamma=90.00
Closest atoms and distances in Å follow each position.
Space group P4/nmm (No. 129, origin choice 2)
Symmetry-distinct sites (fractional):
Be 0.2500 0.2500 0.0457 [2 per cell]  1 N 1.82, 4 O 1.85
Pd 0.2500 0.7500 0.5000 [2 per cell]  4 N 2.07
N 0.2500 0.2500 0.3436 [2 per cell]  1 Be 1.82
O 0.2500 0.7500 0.0000 [2 per cell]  4 Be 1.85

- V: 10.3 A^3/atom



So which one is most stable? That would be x, about 549 meV per atom below the next structure.



## w
Below is a relaxed BePdNO crystal, with properties calculated at the PBE level.

Unit cell a=2.7909 b=5.8632 c=4.8115 alpha=90.00 beta=90.00 gamma=90.00
Closest atoms and distances in Å follow each position.
Space group Pmc2_1 (No. 26)
Symmetry-distinct sites (fractional):
Be 0.0000 0.1507 0.0000 [2 per cell]  2 O 1.65, 2 N 1.67-1.73
Pd 0.5000 0.3366 0.4485 [2 per cell]  2 N 1.98, 1 O 2.22
N 0.0000 0.1086 0.3560 [2 per cell]  2 Be 1.67-1.73
O 0.5000 0.2862 0.9206 [2 per cell]  2 Be 1.65

- V: 9.8 A^3/atom



## x
Below is a relaxed BePdNO crystal, with properties calculated at the PBE level.

Unit cell a=3.7068 b=3.7068 c=5.8493 alpha=90.00 beta=90.00 gamma=90.00
Closest atoms and distances in Å follow each position.
Space group P4/nmm (No. 129, origin choice 2)
Symmetry-distinct sites (fractional):
Be 0.2500 0.2500 0.0464 [2 per cell]  1 N 1.77, 4 O 1.87
Pd 0.2500 0.7500 0.5000 [2 per cell]  4 N 2.05
N 0.2500 0.2500 0.3495 [2 per cell]  1 Be 1.77
O 0.2500 0.7500 0.0000 [2 per cell]  4 Be 1.87

- V: 10.0 A^3/atom



So which one is most stable? That would be w, about 168 meV per atom below the next structure.